LiEr2BePd6 | GGA-PBE | relaxed

As for the energy relative to the elements: -626 meV per atom. For the magnetic moment, the calculation gives 0.00 μB/atom. As for the volume: 168 Å³/f.u. For the energy, the calculation gives -5.22 eV per atom.

It has space group P-1 (No. 2), with a = 5.884 Å, b = 5.902 Å, c = 6.518 Å, α = 63.47°, β = 63.54° and γ = 60.27°. The distinct sites, in fractional coordinates, are Li at (0.000, 0.000, 0.000), Er at (0.262, 0.262, 0.213), Be at (0.500, 0.500, 0.500), Pd at (0.237, 0.744, 0.275), Pd at (0.256, 0.256, 0.724) and Pd at (0.256, 0.764, 0.724).